[1]
SiSb2Br | PBE-GGA | relaxed

The space group is Pmmm (No. 47) and the conventional cell measures 3.468, 5.162 and 5.548 Å, with angles of 90.00, 90.00 and 90.00 degrees. The asymmetric unit holds Si at (0.000, 0.000, 0.000), Sb at (0.000, 0.500, 0.500), Sb at (0.500, 0.500, 0.000) and Br at (0.500, 0.000, 0.500).

The formation energy from raw total energies is 10.16 kcal/mol of atoms.

[2]
RbTaF2 | PBE-GGA | relaxed

The space group is Fm-3m (No. 225) and the conventional cell measures 6.761, 6.761 and 6.761 Å, with angles of 90.00, 90.00 and 90.00 degrees. The asymmetric unit holds Rb at (0.000, 0.000, 0.000), Ta at (0.000, 0.000, 0.500) and F at (0.250, 0.250, 0.250).

The formation energy from raw total energies is -7.53 kcal/mol of atoms.

[3]
VSiOs | PBE-GGA | relaxed

The space group is F-43m (No. 216) and the conventional cell measures 5.706, 5.706 and 5.706 Å, with angles of 90.00, 90.00 and 90.00 degrees. The asymmetric unit holds V at (0.000, 0.000, 0.000), Si at (0.250, 0.250, 0.750) and Os at (0.250, 0.250, 0.250).

The formation energy from raw total energies is 0.35 kcal/mol of atoms.

[4]
K2NaTlI6 | PBE-GGA | relaxed

The space group is Fm-3m (No. 225) and the conventional cell measures 12.243, 12.243 and 12.243 Å, with angles of 90.00, 90.00 and 90.00 degrees. The asymmetric unit holds K at (0.250, 0.250, 0.250), Na at (0.000, 0.000, 0.000), Tl at (0.000, 0.000, 0.500) and I at (0.000, 0.000, 0.254).

The formation energy from raw total energies is -19.50 kcal/mol of atoms.

[5]
Pm3PrTm3 | PBE-GGA | relaxed

The space group is R3m (No. 160, hexagonal axes) and the conventional cell measures 9.9522, 9.9522 and 8.1973 Å, with angles of 90.00, 90.00 and 120.00 degrees. The asymmetric unit holds Pm at (0.2129, 0.4259, 0.0000), Pr at (0.0000, 0.0000, 0.6272) and Tm at (0.1990, 0.3980, 0.5709).

Its formation energy is 0.23 eV/atom.

[6]
MgBeZn2Ge | PBE-GGA | relaxed

The space group is P4/mmm (No. 123) and the conventional cell measures 4.915, 4.915 and 5.036 Å, with angles of 90.00, 90.00 and 90.00 degrees. The asymmetric unit holds Mg at (0.000, 0.000, 0.000), Be at (0.500, 0.500, 0.500), Zn at (0.000, 0.500, 0.000) and Ge at (0.000, 0.000, 0.500).

Its formation energy is 1.10 eV/atom.